Run 1
## LaTiMnB2 (PBE)

Data for LaTiMnB2 after structural relaxation.

Lattice parameters (Å, degrees): 4.5537 4.9932 4.5537 90.00 90.00 90.00
Last column: nearest neighbours and their distance in Å.
Fractional coordinates of all 5 atoms:
B (0.0000, 0.0000, 0.5000)  2 La 2.28
B (0.5000, 0.0000, 0.0000)  2 La 2.28
Mn (0.0000, 0.5000, 0.0000)  2 La 2.50
Ti (0.5000, 0.5000, 0.5000)  4 Mn 3.22, 8 B 3.38
La (0.0000, 0.0000, 0.0000)  4 B 2.28, 2 Mn 2.50

Run 2
## LaTiMnB2 (PBE)

Data for LaTiMnB2 after structural relaxation.

Lattice parameters (Å, degrees): 4.1225 4.1225 4.3673 90.00 90.00 90.00
Last column: nearest neighbours and their distance in Å.
Fractional coordinates of all 5 atoms:
B (0.0000, 0.5000, 0.0000)  2 Mn 2.06
B (0.5000, 0.0000, 0.0000)  2 Mn 2.06
Mn (0.0000, 0.0000, 0.0000)  4 B 2.06, 2 Ti 2.18
Ti (0.0000, 0.0000, 0.5000)  2 Mn 2.18
La (0.5000, 0.5000, 0.5000)  4 Ti 2.92, 8 B 3.00

It is run 1 that is the least stable of them.

Run 1
## LaB2Mo (PBE)

Data for LaB2Mo after structural relaxation.

Lattice parameters (Å, degrees): 4.4563 4.4563 7.9156 73.65 73.65 90.00
Last column: nearest neighbours and their distance in Å.
Fractional coordinates of all 8 atoms:
Mo (0.5000, 0.5000, 0.0000)  4 B 2.13
Mo (0.2500, 0.7500, 0.5000)  4 B 2.13
B (0.3747, 0.1250, 0.2500)  2 Mo 2.13, 2 B 2.23
B (0.3753, 0.6250, 0.2500)  2 Mo 2.13, 2 B 2.23
B (0.3750, 0.6253, 0.7500)  2 Mo 2.13, 2 B 2.23
B (0.8750, 0.6247, 0.7500)  2 Mo 2.13, 2 B 2.23
La (0.0000, 0.0000, 0.0000)  8 B 3.08, 4 Mo 3.15
La (0.7500, 0.2500, 0.5000)  8 B 3.08, 4 Mo 3.15

Run 2
## LaB2Mo (PBE)

Data for LaB2Mo after structural relaxation.

Lattice parameters (Å, degrees): 4.4172 4.4172 4.4172 60.00 60.00 60.00
Last column: nearest neighbours and their distance in Å.
Fractional coordinates of all 4 atoms:
Mo (0.0000, 0.0000, 0.0000)  8 B 2.70
B (0.2500, 0.2500, 0.2500)  4 La 2.70, 4 Mo 2.70
B (0.7500, 0.7500, 0.7500)  4 Mo 2.70, 4 La 2.70
La (0.5000, 0.5000, 0.5000)  8 B 2.70

It is run 2 that is the least stable of them.

Run 1
## LaB3N (PBE)

Data for LaB3N after structural relaxation.

Lattice parameters (Å, degrees): 3.9119 3.9119 3.9119 90.00 90.00 90.00
Last column: nearest neighbours and their distance in Å.
Fractional coordinates of all 5 atoms:
B (0.0000, 0.5000, 0.0000)  2 N 1.96
B (0.0000, 0.0000, 0.5000)  2 N 1.96
B (0.5000, 0.0000, 0.0000)  2 N 1.96
N (0.0000, 0.0000, 0.0000)  6 B 1.96
La (0.5000, 0.5000, 0.5000)  12 B 2.77

Run 2
## LaB3N (PBE)

Data for LaB3N after structural relaxation.

Lattice parameters (Å, degrees): 5.0691 5.0691 5.0691 90.00 90.00 90.00
Last column: nearest neighbours and their distance in Å.
Fractional coordinates of all 5 atoms:
B (0.0000, 0.5000, 0.0000)  2 La 2.53
B (0.0000, 0.0000, 0.5000)  2 La 2.53
B (0.5000, 0.0000, 0.0000)  2 La 2.53
N (0.5000, 0.5000, 0.5000)  12 B 3.58
La (0.0000, 0.0000, 0.0000)  6 B 2.53

It is run 2 that is the least stable of them.

Run 1
## NaLaBN2 (PBE)

Data for NaLaBN2 after structural relaxation.

Lattice parameters (Å, degrees): 3.9919 5.6895 6.6769 104.11 90.00 90.00
Last column: nearest neighbours and their distance in Å.
Fractional coordinates of all 10 atoms:
Na (0.4478, 0.0000, 0.2500)  4 N 2.39-2.48, 2 B 2.45
Na (0.5522, 0.0000, 0.7500)  4 N 2.39-2.48, 2 B 2.45
La (0.2280, 0.5000, 0.7500)  4 N 2.56-2.68
La (0.7720, 0.5000, 0.2500)  4 N 2.56-2.68
B (0.0000, 0.0000, 0.0000)  2 N 1.37
B (0.0000, 0.0000, 0.5000)  2 N 1.37
N (0.8275, 0.7905, 0.9909)  1 B 1.37
N (0.8275, 0.2095, 0.5091)  1 B 1.37
N (0.1725, 0.7905, 0.4909)  1 B 1.37
N (0.1725, 0.2095, 0.0091)  1 B 1.37

Run 2
## NaLaBN2 (PBE)

Data for NaLaBN2 after structural relaxation.

Lattice parameters (Å, degrees): 4.1314 5.0371 4.1314 90.00 90.00 90.00
Last column: nearest neighbours and their distance in Å.
Fractional coordinates of all 5 atoms:
Na (0.0000, 0.0000, 0.0000)  4 N 2.07
B (0.5000, 0.5000, 0.5000)  4 La 2.92, 8 N 3.26
N (0.0000, 0.0000, 0.5000)  2 Na 2.07
N (0.5000, 0.0000, 0.0000)  2 Na 2.07
La (0.0000, 0.5000, 0.0000)  2 Na 2.52

It is run 2 that is the least stable of them.